Compound: BaP2Au
Source: Alexandria
Functional: PBE
Structure: optimized geometry

Values from the calculation:
formation enthalpy at 0 K = 13.96 kJ/mol of atoms
SG = I-4m2, No. 119

Lattice parameters (Å, degrees): 5.6464 5.6464 5.6464 133.03 133.03 68.60
Fractional coordinates of all 4 atoms:
Ba 0.0000 0.0000 0.0000
P 0.2500 0.7500 0.5000
P 0.5000 0.5000 0.0000
Au 0.7500 0.2500 0.5000